[1]
## NaGdZnTe3 (PBE)

Data for a geometry-optimized NaGdZnTe3 structure.

CIF file:
```
data_NaGdZnTe3
_symmetry_space_group_name_H-M 'P 1'
_symmetry_Int_Tables_number 1
_symmetry_space_group_name_Hall 'P 1'
_cell_length_a 10.463
_cell_length_b 10.463
_cell_length_c 8.706
_cell_angle_alpha 102.67
_cell_angle_beta 102.67
_cell_angle_gamma 24.01
loop_
_atom_site_label
_atom_site_type_symbol
_atom_site_fract_x
_atom_site_fract_y
_atom_site_fract_z
Na1 Na 0.119 0.119 0.069
Na2 Na 0.881 0.881 0.931
Gd1 Gd 0.173 0.173 0.580
Gd2 Gd 0.827 0.827 0.420
Zn1 Zn 0.459 0.459 0.273
Zn2 Zn 0.541 0.541 0.727
Te1 Te 0.000 0.000 0.500
Te2 Te 0.326 0.326 0.665
Te3 Te 0.328 0.328 0.168
Te4 Te 0.500 0.500 0.000
Te5 Te 0.672 0.672 0.832
Te6 Te 0.674 0.674 0.335
```

Output
Calculated volume (Å³/atom): 31.489
Distance to the lowest polymorph of the same formula (meV per atom): 112

---

[2]
## Pa2Tc2O5 (PBE)

Data for a geometry-optimized Pa2Tc2O5 structure.

CIF file:
```
data_Pa2Tc2O5
_symmetry_space_group_name_H-M 'P 1'
_symmetry_Int_Tables_number 1
_symmetry_space_group_name_Hall 'P 1'
_cell_length_a 3.972
_cell_length_b 3.972
_cell_length_c 7.038
_cell_angle_alpha 90.00
_cell_angle_beta 90.00
_cell_angle_gamma 90.00
loop_
_atom_site_label
_atom_site_type_symbol
_atom_site_fract_x
_atom_site_fract_y
_atom_site_fract_z
Pa1 Pa 0.000 0.000 0.000
Pa2 Pa 0.000 0.000 0.500
Tc1 Tc 0.500 0.500 0.191
Tc2 Tc 0.500 0.500 0.809
O1 O 0.000 0.500 0.251
O2 O 0.000 0.500 0.749
O3 O 0.500 0.000 0.251
O4 O 0.500 0.000 0.749
O5 O 0.500 0.500 0.500
```

Output
Calculated volume (Å³/atom): 12.335
Distance to the lowest polymorph of the same formula (meV per atom): 0

---

[3]
## Be2TcSn (PBE)

Data for a geometry-optimized Be2TcSn structure.

CIF file:
```
data_Be2TcSn
_symmetry_space_group_name_H-M 'P 1'
_symmetry_Int_Tables_number 1
_symmetry_space_group_name_Hall 'P 1'
_cell_length_a 4.283
_cell_length_b 4.283
_cell_length_c 4.283
_cell_angle_alpha 60.00
_cell_angle_beta 60.00
_cell_angle_gamma 60.00
loop_
_atom_site_label
_atom_site_type_symbol
_atom_site_fract_x
_atom_site_fract_y
_atom_site_fract_z
Be1 Be 0.000 0.000 0.000
Be2 Be 0.250 0.250 0.250
Tc1 Tc 0.750 0.750 0.750
Sn1 Sn 0.500 0.500 0.500
```

Output
Energy (Ry per atom): -0.3655
Calculated volume (Å³/atom): 13.887

---

[4]
## PuBeFe (PBE)

Data for a geometry-optimized PuBeFe structure.

CIF file:
```
data_PuBeFe
_symmetry_space_group_name_H-M 'P 1'
_symmetry_Int_Tables_number 1
_symmetry_space_group_name_Hall 'P 1'
_cell_length_a 4.034
_cell_length_b 4.034
_cell_length_c 4.034
_cell_angle_alpha 60.00
_cell_angle_beta 60.00
_cell_angle_gamma 60.00
loop_
_atom_site_label
_atom_site_type_symbol
_atom_site_fract_x
_atom_site_fract_y
_atom_site_fract_z
Pu1 Pu 0.000 0.000 0.000
Be1 Be 0.500 0.500 0.500
Fe1 Fe 0.250 0.250 0.250
```

Output
Calculated volume (Å³/atom): 15.477
Distance to the lowest polymorph of the same formula (meV per atom): 0

---

[5]
## ZrBi (PBE)

Data for a geometry-optimized ZrBi structure.

CIF file:
```
data_ZrBi
_symmetry_space_group_name_H-M 'P 1'
_symmetry_Int_Tables_number 1
_symmetry_space_group_name_Hall 'P 1'
_cell_length_a 3.285
_cell_length_b 5.797
_cell_length_c 5.292
_cell_angle_alpha 90.00
_cell_angle_beta 90.00
_cell_angle_gamma 90.00
loop_
_atom_site_label
_atom_site_type_symbol
_atom_site_fract_x
_atom_site_fract_y
_atom_site_fract_z
Zr1 Zr 0.250 0.250 0.130
Zr2 Zr 0.750 0.750 0.870
Bi1 Bi 0.250 0.750 0.358
Bi2 Bi 0.750 0.250 0.642
```

Output
Energy (Ry per atom): -0.4739
Calculated volume (Å³/atom): 25.193

---

[6]
## HfZrNiAs (PBE)

Data for a geometry-optimized HfZrNiAs structure.

CIF file:
```
data_HfZrNiAs
_symmetry_space_group_name_H-M 'P 1'
_symmetry_Int_Tables_number 1
_symmetry_space_group_name_Hall 'P 1'
_cell_length_a 5.294
_cell_length_b 3.709
_cell_length_c 7.603
_cell_angle_alpha 90.00
_cell_angle_beta 110.00
_cell_angle_gamma 90.00
loop_
_atom_site_label
_atom_site_type_symbol
_atom_site_fract_x
_atom_site_fract_y
_atom_site_fract_z
Hf1 Hf 0.231 0.250 0.433
Hf2 Hf 0.769 0.750 0.567
Zr1 Zr 0.291 0.750 0.079
Zr2 Zr 0.709 0.250 0.921
Ni1 Ni 0.358 0.750 0.697
Ni2 Ni 0.642 0.250 0.303
As1 As 0.137 0.250 0.789
As2 As 0.863 0.750 0.211
```

Output
Calculated volume (Å³/atom): 17.537
Distance to the lowest polymorph of the same formula (meV per atom): 0

---

[7]
## Sm2NbSi2Os (PBE)

Data for a geometry-optimized Sm2NbSi2Os structure.

CIF file:
```
data_Sm2NbSi2Os
_symmetry_space_group_name_H-M 'P 1'
_symmetry_Int_Tables_number 1
_symmetry_space_group_name_Hall 'P 1'
_cell_length_a 4.001
_cell_length_b 4.001
_cell_length_c 7.690
_cell_angle_alpha 90.00
_cell_angle_beta 90.00
_cell_angle_gamma 90.00
loop_
_atom_site_label
_atom_site_type_symbol
_atom_site_fract_x
_atom_site_fract_y
_atom_site_fract_z
Sm1 Sm 0.000 0.500 0.151
Sm2 Sm 0.500 0.000 0.849
Nb1 Nb 0.000 0.000 0.500
Si1 Si 0.000 0.500 0.720
Si2 Si 0.500 0.000 0.280
Os1 Os 0.500 0.500 0.500
```

Output
Energy (Ry per atom): -0.5522
Calculated volume (Å³/atom): 20.512

---

[8]
## Nd2Dy2Br5N (PBE)

Data for a geometry-optimized Nd2Dy2Br5N structure.

CIF file:
```
data_Nd2Dy2Br5N
_symmetry_space_group_name_H-M 'P 1'
_symmetry_Int_Tables_number 1
_symmetry_space_group_name_Hall 'P 1'
_cell_length_a 9.099
_cell_length_b 9.099
_cell_length_c 8.166
_cell_angle_alpha 103.52
_cell_angle_beta 103.52
_cell_angle_gamma 24.03
loop_
_atom_site_label
_atom_site_type_symbol
_atom_site_fract_x
_atom_site_fract_y
_atom_site_fract_z
Nd1 Nd 0.142 0.142 0.075
Nd2 Nd 0.858 0.858 0.925
Dy1 Dy 0.499 0.499 0.198
Dy2 Dy 0.501 0.501 0.802
Br1 Br 0.000 0.000 0.500
Br2 Br 0.333 0.333 0.189
Br3 Br 0.339 0.339 0.643
Br4 Br 0.661 0.661 0.357
Br5 Br 0.667 0.667 0.811
N1 N 0.000 0.000 0.000
```

Output
Energy (Ry per atom): -0.3776
Calculated volume (Å³/atom): 26.733

---

[9]
## GdScNb2Ge2 (PBE)

Data for a geometry-optimized GdScNb2Ge2 structure.

CIF file:
```
data_GdScNb2Ge2
_symmetry_space_group_name_H-M 'P 1'
_symmetry_Int_Tables_number 1
_symmetry_space_group_name_Hall 'P 1'
_cell_length_a 3.991
_cell_length_b 3.991
_cell_length_c 7.735
_cell_angle_alpha 90.00
_cell_angle_beta 90.00
_cell_angle_gamma 90.00
loop_
_atom_site_label
_atom_site_type_symbol
_atom_site_fract_x
_atom_site_fract_y
_atom_site_fract_z
Gd1 Gd 0.000 0.000 0.000
Sc1 Sc 0.500 0.500 0.294
Nb1 Nb 0.000 0.500 0.637
Nb2 Nb 0.500 0.000 0.637
Ge1 Ge 0.000 0.000 0.386
Ge2 Ge 0.500 0.500 0.889
```

Output
Energy (Ry per atom): -0.5409
Calculated volume (Å³/atom): 20.540

---

[10]
## TaCoOsPb (PBE)

Data for a geometry-optimized TaCoOsPb structure.

CIF file:
```
data_TaCoOsPb
_symmetry_space_group_name_H-M 'P 1'
_symmetry_Int_Tables_number 1
_symmetry_space_group_name_Hall 'P 1'
_cell_length_a 4.571
_cell_length_b 4.571
_cell_length_c 4.571
_cell_angle_alpha 60.00
_cell_angle_beta 60.00
_cell_angle_gamma 60.00
loop_
_atom_site_label
_atom_site_type_symbol
_atom_site_fract_x
_atom_site_fract_y
_atom_site_fract_z
Ta1 Ta 0.000 0.000 0.000
Co1 Co 0.500 0.500 0.500
Os1 Os 0.750 0.750 0.750
Pb1 Pb 0.250 0.250 0.250
```

Output
Calculated volume (Å³/atom): 16.888
Distance to the lowest polymorph of the same formula (meV per atom): 319

---

[11]
## ScTl2Cu (PBE)

Data for a geometry-optimized ScTl2Cu structure.

CIF file:
```
data_ScTl2Cu
_symmetry_space_group_name_H-M 'P 1'
_symmetry_Int_Tables_number 1
_symmetry_space_group_name_Hall 'P 1'
_cell_length_a 4.990
_cell_length_b 4.990
_cell_length_c 4.990
_cell_angle_alpha 60.00
_cell_angle_beta 60.00
_cell_angle_gamma 60.00
loop_
_atom_site_label
_atom_site_type_symbol
_atom_site_fract_x
_atom_site_fract_y
_atom_site_fract_z
Sc1 Sc 0.000 0.000 0.000
Tl1 Tl 0.500 0.500 0.500
Tl2 Tl 0.750 0.750 0.750
Cu1 Cu 0.250 0.250 0.250
```

Output
Energy (Ry per atom): -0.2627
Calculated volume (Å³/atom): 21.961

---

[12]
## LaNpCl6 (PBE)

Data for a geometry-optimized LaNpCl6 structure.

CIF file:
```
data_LaNpCl6
_symmetry_space_group_name_H-M 'P 1'
_symmetry_Int_Tables_number 1
_symmetry_space_group_name_Hall 'P 1'
_cell_length_a 7.469
_cell_length_b 7.469
_cell_length_c 4.321
_cell_angle_alpha 90.00
_cell_angle_beta 90.00
_cell_angle_gamma 120.00
loop_
_atom_site_label
_atom_site_type_symbol
_atom_site_fract_x
_atom_site_fract_y
_atom_site_fract_z
La1 La 0.000 0.000 0.000
Np1 Np 0.667 0.333 0.500
Cl1 Cl 0.028 0.748 0.500
Cl2 Cl 0.252 0.280 0.500
Cl3 Cl 0.424 0.059 0.000
Cl4 Cl 0.635 0.576 0.000
Cl5 Cl 0.720 0.972 0.500
Cl6 Cl 0.941 0.365 0.000
```

Output
Energy (Ry per atom): -0.4174
Calculated volume (Å³/atom): 26.100